No. 1
Pr6POs2I3 | PBE | relaxed

Computed properties:
The density of states at the Fermi level comes out at 0.96 states/eV per atom. Its uncorrected formation energy is -800 meV/atom. For the calculated total energy, the calculation gives -70.79 eV/f.u.

Lattice parameters (Å, degrees): 7.4061 12.8171 8.4128 90.00 107.18 90.00
Space group C2/m (No. 12)
Inequivalent atoms, fractional coordinates:
1 Pr 0.2180 0.0000 0.1861 (multiplicity 4)
2 Pr 0.2330 0.3280 0.1868 (multiplicity 8)
3 P 0.0000 0.5000 0.0000 (multiplicity 2)
4 Os 0.0000 0.1670 0.0000 (multiplicity 4)
5 I 0.0000 0.0000 0.5000 (multiplicity 2)
6 I 0.0000 0.3354 0.5000 (multiplicity 4)

No. 2
Zr2AgPd8 | PBE | relaxed

Computed properties:
The density of states at the Fermi level comes out at 0.52 states/eV per atom. The energy of formation comes out at -0.483 eV per atom. For the calculated total energy, the calculation gives -66.80 eV/f.u.

Lattice parameters (Å, degrees): 14.4353 4.0793 6.5665 90.00 107.71 90.00
Space group C2/m (No. 12)
Inequivalent atoms, fractional coordinates:
1 Zr 0.2177 0.0000 0.1648 (multiplicity 4)
2 Ag 0.0000 0.5000 0.5000 (multiplicity 2)
3 Pd 0.0415 0.0000 0.2231 (multiplicity 4)
4 Pd 0.0955 0.5000 0.9514 (multiplicity 4)
5 Pd 0.1449 0.0000 0.6977 (multiplicity 4)
6 Pd 0.1772 0.5000 0.4073 (multiplicity 4)

No. 3
LuScMnCu | PBE | relaxed

Computed properties:
The density of states at the Fermi level comes out at 1.56 states/eV per atom. The energy of formation comes out at -0.008 eV per atom. For the calculated total energy, the calculation gives -24.15 eV/f.u.

Lattice parameters (Å, degrees): 6.6796 6.6796 6.6796 90.00 90.00 90.00
Space group F-43m (No. 216)
Inequivalent atoms, fractional coordinates:
1 Lu 0.0000 0.0000 0.0000 (multiplicity 4)
2 Sc 0.0000 0.0000 0.5000 (multiplicity 4)
3 Mn 0.2500 0.2500 0.2500 (multiplicity 4)
4 Cu 0.2500 0.2500 0.7500 (multiplicity 4)

No. 4
Nd8Sb5Pb | PBE | relaxed

Computed properties:
The density of states at the Fermi level comes out at 1.00 states/eV per atom. Its uncorrected formation energy is -981 meV/atom. For the calculated total energy, the calculation gives -76.20 eV/f.u.

Lattice parameters (Å, degrees): 9.5468 9.5468 9.5465 90.00 90.00 90.00
Space group I-4 (No. 82)
Inequivalent atoms, fractional coordinates:
1 Nd 0.0694 0.1755 0.3049 (multiplicity 8)
2 Nd 0.0717 0.3198 0.9436 (multiplicity 8)
3 Sb 0.0000 0.0000 0.0000 (multiplicity 2)
4 Sb 0.1258 0.2514 0.6237 (multiplicity 8)
5 Pb 0.0000 0.5000 0.2500 (multiplicity 2)

No. 5
LaDyHgAu | PBE | relaxed

Computed properties:
The density of states at the Fermi level comes out at 0.68 states/eV per atom. The energy of formation comes out at -0.622 eV per atom. For the calculated total energy, the calculation gives -15.60 eV/f.u.

Lattice parameters (Å, degrees): 7.5176 7.5176 7.5176 90.00 90.00 90.00
Space group F-43m (No. 216)
Inequivalent atoms, fractional coordinates:
1 La 0.0000 0.0000 0.0000 (multiplicity 4)
2 Dy 0.0000 0.0000 0.5000 (multiplicity 4)
3 Hg 0.2500 0.2500 0.2500 (multiplicity 4)
4 Au 0.2500 0.2500 0.7500 (multiplicity 4)

No. 6
GeHCl2 | PBE | relaxed

Computed properties:
The density of states at the Fermi level comes out at 0.00 states/eV per atom. For the calculated total energy, the calculation gives -11.19 eV/f.u.

Lattice parameters (Å, degrees): 6.6496 6.6496 6.6496 90.00 90.00 90.00
Space group Fm-3m (No. 225)
Inequivalent atoms, fractional coordinates:
1 Ge 0.0000 0.0000 0.0000 (multiplicity 4)
2 H 0.0000 0.0000 0.5000 (multiplicity 4)
3 Cl 0.2500 0.2500 0.2500 (multiplicity 8)